This record from Alexandria via LeMat-Bulk describes crystalline AsOs2Br at its relaxed geometry. The functional is PBE.

Cell lengths 4.3941, 4.3941, 4.3941 Å; angles 110.16, 110.16, 108.10 degrees
With the nearest neighbours (Å) after each atom.
Fractional positions:
As (0.0000, 0.0000, 0.0000)  6 Os 2.58-2.83, 4 Br 2.83
Os (0.2500, 0.7500, 0.5000)  2 Br 2.58, 4 Os 2.83, 4 As 2.83
Os (0.5000, 0.5000, 0.0000)  2 As 2.58, 4 Br 2.83, 4 Os 2.83
Br (0.7500, 0.2500, 0.5000)  6 Os 2.58-2.83, 4 As 2.83

Magnetization ... 0.00 Bohr magnetons per cell
E_tot ... -6.044 eV/atom
Theoretical density ... 13.6 g/cm³
Symmetry ... I-4m2 (119)
Polymorph energy (0 for the lowest one) ... 756.4 meV per atom
D(E_F) ... 3.25 states/eV/f.u.